A geometry-optimized KMnAsO3 structure. Source: Alexandria, functional PBE with a Hubbard U.

Cell lengths 4.2863, 6.3693, 8.1780 Å; angles 90.00, 90.00, 109.66 degrees
With the nearest neighbours (Å) after each atom.
Atoms (fractional coordinates):
O: 0.0057 0.0113 0.2500  2 Mn 2.05, 2 As 2.15
O: 0.6150 0.2300 0.4233  1 As 1.79
O: 0.3850 0.7700 0.9233  1 As 1.79
O: 0.3850 0.7700 0.5767  1 As 1.79
O: 0.9943 0.9887 0.7500  2 Mn 2.05, 2 As 2.15
O: 0.6150 0.2300 0.0767  1 As 1.79
Mn: 0.0000 0.0000 0.0000  2 O 2.05
Mn: 0.0000 0.0000 0.5000  2 O 2.05
K: 0.2512 0.5023 0.2500  7 O 2.94-3.12, 1 As 3.27
K: 0.7488 0.4977 0.7500  7 O 2.94-3.12, 1 As 3.27
As: 0.5238 0.0475 0.2500  2 O 1.79
As: 0.4762 0.9525 0.7500  2 O 1.79

Calculated density, g/cm³: 3.4
Space group: Cmcm
Total DFT energy (no corrections), eV for the cell shown: -72.0